Entry 1:
The following is a DFT calculation (PBE-GGA) of KIn9Co2 after structural relaxation.

DFT total energy	-3.40	eV per atom
magnetic moment	0.00	μB per atom

```
12
Lattice="-2.909 7.708 3.249 -2.510 -7.618 3.755 3.375 0.174 2.609" Properties=species:S:1:pos:R:3 pbc="T T T"
Co -2.776 2.599 3.418
In -0.054 1.717 3.448
Co -2.643 -2.509 3.586
In -2.710 0.045 3.502
In -1.255 -3.809 1.877
K 0.000 0.000 0.000
In -1.138 4.591 4.659
In -1.990 -1.453 6.165
In 0.030 -1.487 3.554
In -0.906 -4.327 4.954
In -2.074 1.751 6.059
In -1.455 3.854 1.624
```

***

Entry 2:
The following is a DFT calculation (PBE-GGA) of Lu2ScBi after structural relaxation.

DFT total energy	-4.93	eV per atom
magnetic moment	0.01	μB per atom

```
4
Lattice="3.982 -1.137 3.288 0.098 -4.643 2.528 3.569 -3.664 -1.338" Properties=species:S:1:pos:R:3 pbc="T T T"
Sc 1.912 -2.361 1.119
Lu 0.000 0.000 0.000
Bi 3.824 -4.721 2.239
Lu 5.737 -7.082 3.358
```

***

Entry 3:
The following is a DFT calculation (PBE-GGA) of Gd3ZnCd2Ga2Pd after structural relaxation.

DFT total energy	-3.73	eV per atom
magnetic moment	0.00	μB per atom

```
9
Lattice="4.330 0.000 0.000 0.000 6.329 3.617 0.000 -6.329 3.617" Properties=species:S:1:pos:R:3 pbc="T T T"
Ga 0.000 2.051 3.578
Cd 0.000 4.778 2.741
Pd 2.165 0.000 0.136
Gd 2.165 0.000 4.213
Gd 2.165 -3.742 5.088
Ga 0.000 -2.051 3.578
Cd 0.000 -4.778 2.741
Zn 0.000 0.000 1.769
Gd 2.165 3.742 5.088
```

***

Entry 4:
The following is a DFT calculation (PBE-GGA) of AlTlPdS3 after structural relaxation.

DFT total energy	-4.47	eV per atom

```
12
Lattice="-1.073 -7.140 1.607 1.952 0.345 2.838 -8.190 5.424 4.972" Properties=species:S:1:pos:R:3 pbc="T T T"
Pd -0.972 -2.774 2.061
S -4.382 2.000 5.937
Tl -1.271 -5.739 4.739
S 0.952 -1.676 2.716
S -3.046 -0.180 3.172
Al -4.958 0.268 4.433
S -8.263 0.306 6.701
Al -2.353 -1.639 4.984
S -2.929 -3.371 3.480
Tl -6.040 4.369 4.678
Pd -6.339 1.403 7.355
S -4.265 -1.191 6.245
```

***

Entry 5:
The following is a DFT calculation (PBE-GGA) of Cs2AlCuCl6 after structural relaxation.

DFT total energy	-3.47	eV per atom

```
10
Lattice="3.540 2.044 5.787 -3.540 2.044 5.787 0.000 -4.088 5.787" Properties=species:S:1:pos:R:3 pbc="T T T"
Cl 0.001 -2.142 7.165
Cl -0.001 2.142 10.204
Cu 0.000 0.000 8.683
Cl -1.855 1.070 7.165
Cl 1.855 -1.070 10.204
Cs 0.000 0.000 13.030
Cl 1.854 1.072 7.165
Cl -1.854 -1.072 10.204
Al 0.000 0.000 0.003
Cs 0.000 0.000 4.338
```

***

Entry 6:
The following is a DFT calculation (PBE-GGA) of CuSiSbOs after structural relaxation.

DFT total energy	-5.73	eV per atom
magnetic moment	0.00	μB per atom

```
4
Lattice="0.000 3.150 3.150 3.150 0.000 3.150 3.150 3.150 0.000" Properties=species:S:1:pos:R:3 pbc="T T T"
Sb 0.000 0.000 0.000
Os 1.575 1.575 1.575
Si 3.150 3.150 3.150
Cu 4.724 4.724 4.724
```

***

Entry 7:
The following is a DFT calculation (PBE-GGA) of FeNiGePt after structural relaxation.

DFT total energy	-6.28	eV per atom
magnetic moment	0.72	μB per atom

```
4
Lattice="-2.869 0.327 3.075 -0.521 3.668 2.017 -3.504 2.267 -0.617" Properties=species:S:1:pos:R:3 pbc="T T T"
Pt -1.724 1.566 1.119
Ge 0.000 0.000 0.000
Ni -3.447 3.131 2.237
Fe -5.171 4.697 3.356
```

***

Entry 8:
The following is a DFT calculation (PBE-GGA) of BeAlFeBi after structural relaxation.

DFT total energy	-4.25	eV per atom
magnetic moment	0.49	μB per atom

```
4
Lattice="0.000 3.241 3.241 3.241 0.000 3.241 3.241 3.241 0.000" Properties=species:S:1:pos:R:3 pbc="T T T"
Fe 0.000 0.000 0.000
Bi 3.241 3.241 3.241
Al 1.621 1.621 1.621
Be 4.862 4.862 4.862
```